Here is Tm4Tl2Pb after structural relaxation from the Alexandria database. Energies are from PBE.

a = 9.202 Å, b = 9.202 Å, c = 9.202 Å
α = 32.90°, β = 32.90°, γ = 32.90°
Sites, in units of the cell vectors:
1 Tm 0.121 0.121 0.121
2 Tm 0.375 0.375 0.375
3 Tm 0.625 0.625 0.625
4 Tm 0.879 0.879 0.879
5 Tl 0.258 0.258 0.258
6 Tl 0.742 0.742 0.742
7 Pb 0.500 0.500 0.500

Its space-group type is No. 166. Its energy relative to the lowest polymorph listed for this composition is 27.5 kJ/mol of formula units. The value obtained for the energy of formation from the pure elements is -18.11 kJ/mol of atoms. As for the spin magnetization: 0.00 μB per cell.